[1]
An optimized crystal structure of Ce2NiAu. Source: Alexandria via LeMat-Bulk, functional GGA-PBE.

symmetry: No. 123

Cell lengths 3.613, 3.613, 6.734 Å; angles 90.00, 90.00, 90.00 degrees
Fractional positions:
Ce 0.000 0.000 0.212
Ni 0.500 0.500 0.000
Au 0.500 0.500 0.500
Ce 0.000 0.000 0.788

[2]
An optimized crystal structure of DyAlGa2Cu. Source: Alexandria via LeMat-Bulk, functional GGA-PBE.

symmetry: No. 119

Cell lengths 4.054, 4.054, 6.158 Å; angles 109.22, 109.22, 90.00 degrees
Fractional positions:
Ga 0.612 0.612 0.224
Ga 0.388 0.388 0.776
Cu 0.250 0.750 0.500
Dy 0.000 0.000 0.000
Al 0.750 0.250 0.500

[3]
An optimized crystal structure of Pm2FeWN5. Source: Alexandria via LeMat-Bulk, functional GGA-PBE.

formation energy without anion corrections: -751 meV per atom
symmetry: No. 36

Cell lengths 3.235, 7.186, 10.023 Å; angles 90.00, 90.00, 103.01 degrees
Fractional positions:
N 0.664 0.328 0.505
N 0.336 0.672 0.005
N 0.503 0.006 0.783
Pm 0.118 0.237 0.694
Pm 0.125 0.250 0.320
N 0.697 0.395 0.155
N 0.681 0.361 0.878
Fe 0.447 0.894 0.449
N 0.303 0.605 0.655
W 0.204 0.408 0.020
W 0.796 0.592 0.520
N 0.969 0.938 0.519
Fe 0.553 0.106 0.949
N 0.319 0.639 0.378
N 0.497 0.994 0.283
N 0.031 0.062 0.019
Pm 0.882 0.763 0.194
Pm 0.875 0.750 0.820

[4]
An optimized crystal structure of Cs2K6Na3. Source: Alexandria via LeMat-Bulk, functional GGA-PBE.

symmetry: No. 189

Cell lengths 7.545, 10.997, 10.997 Å; angles 120.00, 90.00, 90.00 degrees
Fractional positions:
K 0.000 0.781 0.781
Cs 0.000 0.333 0.667
K 0.500 0.569 0.000
Na 0.500 0.000 0.189
K 0.500 0.431 0.431
K 0.000 0.000 0.219
K 0.500 0.000 0.569
Na 0.500 0.811 0.811
K 0.000 0.219 0.000
Cs 0.000 0.667 0.333
Na 0.500 0.189 0.000

[5]
An optimized crystal structure of Li6CaCd5. Source: Alexandria via LeMat-Bulk, functional GGA-PBE.

symmetry: No. 71

Cell lengths 4.811, 7.056, 8.218 Å; angles 115.42, 107.02, 90.00 degrees
Fractional positions:
Cd 0.673 0.673 0.346
Cd 0.327 0.327 0.654
Li 0.823 0.095 0.646
Cd 0.658 0.158 0.316
Ca 0.000 0.000 0.000
Li 0.177 0.449 0.354
Cd 0.000 0.500 0.000
Li 0.823 0.551 0.646
Cd 0.342 0.842 0.684
Li 0.177 0.905 0.354
Li 0.500 0.714 0.000
Li 0.500 0.286 0.000

[6]
An optimized crystal structure of AcDyCu2. Source: Alexandria via LeMat-Bulk, functional GGA-PBE.

symmetry: No. 225

Cell lengths 5.161, 5.161, 5.161 Å; angles 60.00, 60.00, 60.00 degrees
Fractional positions:
Ac 0.000 0.000 0.000
Dy 0.500 0.500 0.500
Cu 0.750 0.750 0.750
Cu 0.250 0.250 0.250

Number 1: total moment 0.855 μB per formula unit, DFT total energy -5.652 eV/atom. Number 2: total moment 0.000 μB per formula unit, DFT total energy -4.179 eV/atom. Number 3: total moment 0.576 μB per formula unit, DFT total energy -8.811 eV/atom. Number 4: total moment 0.000 μB per formula unit, DFT total energy -1.051 eV/atom. Number 5: total moment 0.000 μB per formula unit, DFT total energy -1.722 eV/atom. Number 6: total moment 0.000 μB per formula unit, DFT total energy -4.333 eV/atom.